# KCu2F4 PBE optimized geometry
data_KCu2F4
_cell_length_a 6.2766
_cell_length_b 6.2766
_cell_length_c 10.5566
_cell_angle_alpha 90.00
_cell_angle_beta 90.00
_cell_angle_gamma 90.00
_space_group_name_H-M_alt 'I 41/a'
_space_group_IT_number 88
loop_
_space_group_symop_operation_xyz
'x,y,z'
'-x,-y,-z'
'-y+3/4,x+1/4,z+1/4'
'y+3/4,-x+1/4,-z+1/4'
'-x+1/2,-y,z+1/2'
'x+1/2,y,-z+1/2'
'y+3/4,-x+3/4,z+3/4'
'-y+3/4,x+3/4,-z+3/4'
'x+1/2,y+1/2,z+1/2'
'-x+1/2,-y+1/2,-z+1/2'
'-y+1/4,x+3/4,z+3/4'
'y+1/4,-x+3/4,-z+3/4'
'-x,-y+1/2,z'
'x,y+1/2,-z'
'y+1/4,-x+1/4,z+1/4'
'-y+1/4,x+1/4,-z+1/4'
loop_
_atom_site_label
_atom_site_type_symbol
_atom_site_fract_x
_atom_site_fract_y
_atom_site_fract_z
K1 K 0.0000 0.2500 0.1250
Cu1 Cu 0.0000 0.0000 0.5000
F1 F 0.1376 0.0154 0.3299
# VASP energy ... -29.43 eV/f.u.
# Energy above the most stable polymorph in this dataset ... 0 meV/atom
# Formation energy without anion corrections ... -1807 meV per atom
# Density of states at the Fermi level ... 13.591 states/eV/cell